1.
Density functional theory data (GGA-PBE) for an optimized crystal structure of RhBrN2.

Values from the calculation:
- D(E_F): 4.7 states/eV/cell
- Formation energy without anion corrections: 1.16 eV/atom
- Space-group type: No. 122
- Polymorph energy (0 for the lowest one): 20.40 kJ/mol of atoms
- M_tot: 0.000 μB per atom
- ρ: 5.162 g cm⁻³

Cell: 5.8204 5.8204 5.8204 Å, 121.71 121.71 87.06°
Last column: nearest neighbours and their distance in Å.
Positions (direct):
Rh1 0.0000 0.0000 0.0000  4 N 1.88
Rh2 0.7500 0.2500 0.5000  4 N 1.88
Br1 0.2500 0.7500 0.5000  4 N 2.82
Br2 0.5000 0.5000 0.0000  4 N 2.82
N1 0.3750 0.2378 0.3628  2 Rh 1.88
N2 0.7622 0.1250 0.1372  2 Rh 1.88
N3 0.8750 0.0122 0.6372  2 Rh 1.88
N4 0.9878 0.6250 0.8628  2 Rh 1.88

2.
Density functional theory data (GGA-PBE) for an optimized crystal structure of Tb4Pm3Sc4.

Values from the calculation:
- D(E_F): 15.5 states/eV/cell
- Space-group type: No. 71
- Calculated formation energy: 0.138 eV per atom
- M_tot: 0.000 μB per atom
- ρ: 6.178 g cm⁻³

Cell: 11.4885 11.4885 11.4885 Å, 162.45 132.53 50.99°
Last column: nearest neighbours and their distance in Å.
Positions (direct):
Tb1 0.0313 0.8497 0.1816  4 Sc 3.31-3.50, 3 Tb 3.36-3.50, 2 Pm 3.54
Tb2 0.3318 0.1503 0.1816  4 Sc 3.31-3.50, 3 Tb 3.36-3.50, 2 Pm 3.54
Tb3 0.6682 0.8497 0.8184  4 Sc 3.31-3.50, 3 Tb 3.36-3.50, 2 Pm 3.54
Tb4 0.9687 0.1503 0.8184  4 Sc 3.31-3.50, 3 Tb 3.36-3.50, 2 Pm 3.54
Pm1 0.0000 0.5000 0.5000  4 Sc 3.43, 2 Pm 3.50
Pm2 0.3918 0.3918 0.0000  6 Sc 3.27-3.30, 2 Pm 3.50, 4 Tb 3.54
Pm3 0.6082 0.6082 0.0000  6 Sc 3.27-3.30, 2 Pm 3.50, 4 Tb 3.54
Sc1 0.2589 0.7589 0.5000  2 Pm 3.27, 6 Tb 3.31-3.50, 2 Sc 3.50
Sc2 0.3186 0.0000 0.3186  6 Pm 3.30-3.43, 3 Sc 3.36-3.50, 2 Tb 3.36
Sc3 0.6814 0.0000 0.6814  6 Pm 3.30-3.43, 3 Sc 3.36-3.50, 2 Tb 3.36
Sc4 0.7411 0.2411 0.5000  2 Pm 3.27, 6 Tb 3.31-3.50, 2 Sc 3.50

3.
Density functional theory data (GGA-PBE) for an optimized crystal structure of Cs2KTiH6.

Values from the calculation:
- D(E_F): 12.6 states/eV/cell
- Energy: -32.6 eV/f.u.
- Space-group type: No. 59
- M_tot: 0.100 μB per atom
- ρ: 3.143 g cm⁻³

Cell: 6.4486 9.1223 6.4461 Å, 90.00 90.00 90.00°
Last column: nearest neighbours and their distance in Å.
Positions (direct):
Cs1 0.2500 0.0003 0.2499  12 H 3.24-3.25
Cs2 0.2500 0.4997 0.2499  12 H 3.24-3.25
Cs3 0.7500 0.9997 0.7501  12 H 3.24-3.25
Cs4 0.7500 0.5003 0.7501  12 H 3.24-3.25
K1 0.2500 0.2500 0.7503  6 H 2.66
K2 0.7500 0.7500 0.2497  6 H 2.66
Ti1 0.2500 0.7500 0.7496  6 H 1.90
Ti2 0.7500 0.2500 0.2504  6 H 1.90
H1 0.0432 0.7500 0.5402  1 Ti 1.90
H2 0.0426 0.7500 0.9585  1 Ti 1.90
H3 0.2500 0.5419 0.7499  1 Ti 1.90
H4 0.2500 0.9581 0.7499  1 Ti 1.90
H5 0.4568 0.7500 0.5402  1 Ti 1.90
H6 0.4574 0.7500 0.9585  1 Ti 1.90
H7 0.5426 0.2500 0.0415  1 Ti 1.90
H8 0.5432 0.2500 0.4598  1 Ti 1.90
H9 0.7500 0.0419 0.2501  1 Ti 1.90
H10 0.7500 0.4581 0.2501  1 Ti 1.90
H11 0.9574 0.2500 0.0415  1 Ti 1.90
H12 0.9568 0.2500 0.4598  1 Ti 1.90

4.
Density functional theory data (GGA-PBE) for an optimized crystal structure of ZrTiTe2N.

Values from the calculation:
- D(E_F): 3.5 states/eV/cell
- Formation energy without anion corrections: -0.19 eV/atom
- Space-group type: No. 123
- Polymorph energy (0 for the lowest one): 0.00 kJ/mol of atoms
- M_tot: 0.000 μB per atom
- ρ: 6.114 g cm⁻³

Cell: 5.4615 5.4615 3.7175 Å, 90.00 90.00 90.00°
Last column: nearest neighbours and their distance in Å.
Positions (direct):
Zr1 0.0000 0.0000 0.0000  8 Te 3.30
Ti1 0.5000 0.5000 0.5000  2 N 1.86
Te1 0.0000 0.5000 0.5000  2 Ti 2.73
Te2 0.5000 0.0000 0.5000  2 Ti 2.73
N1 0.5000 0.5000 0.0000  2 Ti 1.86

5.
Density functional theory data (GGA-PBE) for an optimized crystal structure of MgVPt2.

Values from the calculation:
- D(E_F): 10.7 states/eV/cell
- Space-group type: No. 122
- Calculated formation energy: -0.157 eV per atom
- M_tot: 0.438 μB per atom
- ρ: 11.222 g cm⁻³

Cell: 5.7009 5.7009 5.7009 Å, 103.76 103.76 121.63°
Last column: nearest neighbours and their distance in Å.
Positions (direct):
Mg1 0.0000 0.0000 0.0000  4 Pt 2.70, 2 V 2.78
Mg2 0.7500 0.2500 0.5000  4 Pt 2.70, 2 V 2.78
V1 0.2500 0.7500 0.5000  4 Pt 2.47
V2 0.5000 0.5000 0.0000  4 Pt 2.47
Pt1 0.1493 0.6250 0.0243  2 V 2.47, 2 Mg 2.70
Pt2 0.3750 0.3993 0.5243  2 V 2.47, 2 Mg 2.70
Pt3 0.6007 0.1250 0.9757  2 V 2.47, 2 Mg 2.70
Pt4 0.8750 0.8507 0.4757  2 V 2.47, 2 Mg 2.70

6.
Density functional theory data (GGA-PBE) for an optimized crystal structure of Nd4Dy2Er5.

Values from the calculation:
- D(E_F): 16.5 states/eV/cell
- Space-group type: No. 71
- Calculated formation energy: 0.286 eV per atom
- Polymorph energy (0 for the lowest one): 17.37 kJ/mol of atoms
- M_tot: 0.000 μB per atom
- ρ: 7.803 g cm⁻³

Cell: 12.4801 12.4801 12.4801 Å, 163.86 136.72 46.48°
Last column: nearest neighbours and their distance in Å.
Positions (direct):
Nd1 0.0963 0.0963 0.0000  1 Dy 3.07, 4 Nd 3.40
Nd2 0.2060 0.5000 0.7060  4 Er 3.22-3.49, 6 Nd 3.40-3.50
Nd3 0.7940 0.5000 0.2940  4 Er 3.22-3.49, 6 Nd 3.40-3.50
Nd4 0.9037 0.9037 0.0000  1 Dy 3.07, 4 Nd 3.40
Dy1 0.2303 0.2303 0.0000  1 Nd 3.07, 2 Er 3.35
Dy2 0.7697 0.7697 0.0000  1 Nd 3.07, 2 Er 3.35
Er1 0.1545 0.3526 0.8019  1 Dy 3.35, 3 Nd 3.49, 3 Er 3.50-3.65
Er2 0.4492 0.6474 0.8019  1 Dy 3.35, 3 Nd 3.49, 3 Er 3.50-3.65
Er3 0.5000 0.0000 0.5000  4 Nd 3.22, 2 Er 3.50
Er4 0.5508 0.3526 0.1981  1 Dy 3.35, 3 Nd 3.49, 3 Er 3.50-3.65
Er5 0.8455 0.6474 0.1981  1 Dy 3.35, 3 Nd 3.49, 3 Er 3.50-3.65

7.
Density functional theory data (GGA-PBE) for an optimized crystal structure of Y3CdPt12.

Values from the calculation:
- D(E_F): 15.7 states/eV/cell
- Space-group type: No. 123
- Calculated formation energy: -0.792 eV per atom
- M_tot: 0.000 μB per atom
- ρ: 16.305 g cm⁻³

Cell: 4.1137 4.1137 16.3699 Å, 90.00 90.00 90.00°
Last column: nearest neighbours and their distance in Å.
Positions (direct):
Y1 0.0000 0.0000 0.0000  12 Pt 2.91-2.92
Y2 0.0000 0.0000 0.2528  12 Pt 2.91-2.92
Y3 0.0000 0.0000 0.7472  12 Pt 2.91-2.92
Cd1 0.0000 0.0000 0.5000  12 Pt 2.86-2.91
Pt1 0.0000 0.5000 0.1263  8 Pt 2.91-2.92, 4 Y 2.92
Pt2 0.0000 0.5000 0.3790  8 Pt 2.86-2.91, 2 Cd 2.86, 2 Y 2.91
Pt3 0.0000 0.5000 0.6210  8 Pt 2.86-2.91, 2 Cd 2.86, 2 Y 2.91
Pt4 0.0000 0.5000 0.8737  8 Pt 2.91-2.92, 4 Y 2.92
Pt5 0.5000 0.0000 0.1263  8 Pt 2.91-2.92, 4 Y 2.92
Pt6 0.5000 0.0000 0.3790  8 Pt 2.86-2.91, 2 Cd 2.86, 2 Y 2.91
Pt7 0.5000 0.0000 0.6210  8 Pt 2.86-2.91, 2 Cd 2.86, 2 Y 2.91
Pt8 0.5000 0.0000 0.8737  8 Pt 2.91-2.92, 4 Y 2.92
Pt9 0.5000 0.5000 0.0000  4 Y 2.91, 8 Pt 2.92
Pt10 0.5000 0.5000 0.2530  4 Y 2.91, 8 Pt 2.91-2.92
Pt11 0.5000 0.5000 0.5000  8 Pt 2.86, 4 Cd 2.91
Pt12 0.5000 0.5000 0.7470  4 Y 2.91, 8 Pt 2.91-2.92

8.
Density functional theory data (GGA-PBE) for an optimized crystal structure of NdTi2V.

Values from the calculation:
- D(E_F): 6.5 states/eV/cell
- Space-group type: No. 123
- Calculated formation energy: 0.207 eV per atom
- Polymorph energy (0 for the lowest one): 0.00 kJ/mol of atoms
- M_tot: 0.000 μB per atom
- ρ: 6.022 g cm⁻³

Cell: 3.2308 3.2308 7.6853 Å, 90.00 90.00 90.00°
Last column: nearest neighbours and their distance in Å.
Positions (direct):
Nd1 0.0000 0.0000 0.0000  4 Nd 3.23, 8 Ti 3.33
Ti1 0.5000 0.5000 0.3155  4 V 2.69, 1 Ti 2.84
Ti2 0.5000 0.5000 0.6845  4 V 2.69, 1 Ti 2.84
V1 0.0000 0.0000 0.5000  8 Ti 2.69

9.
Density functional theory data (GGA-PBE) for an optimized crystal structure of AlMo3C.

Values from the calculation:
- D(E_F): 12.9 states/eV/cell
- Space-group type: No. 15
- Calculated formation energy: 0.256 eV per atom
- Polymorph energy (0 for the lowest one): 22.33 kJ/mol of atoms
- M_tot: 0.000 μB per atom
- ρ: 7.369 g cm⁻³

Cell: 7.2406 7.2406 5.7427 Å, 90.11 90.11 78.08°
Last column: nearest neighbours and their distance in Å.
Positions (direct):
Al1 0.0059 0.9941 0.7500  8 Mo 2.73, 3 Al 2.85-2.87
Al2 0.3186 0.6814 0.7500  8 Mo 2.70-2.72, 1 Al 2.85
Al3 0.6814 0.3186 0.2500  8 Mo 2.70-2.72, 1 Al 2.85
Al4 0.9941 0.0059 0.2500  8 Mo 2.73, 3 Al 2.85-2.87
Mo1 0.0072 0.6780 0.4906  2 C 2.18
Mo2 0.0083 0.6779 0.0089  2 C 2.17-2.18
Mo3 0.3221 0.9917 0.4911  2 C 2.17-2.18
Mo4 0.3220 0.9928 0.0094  2 C 2.18
Mo5 0.3571 0.3577 0.9993  2 C 2.14
Mo6 0.3577 0.3571 0.4993  2 C 2.14
Mo7 0.6423 0.6429 0.5007  2 C 2.14
Mo8 0.6429 0.6423 0.0007  2 C 2.14
Mo9 0.6780 0.0072 0.9906  2 C 2.18
Mo10 0.6779 0.0083 0.5089  2 C 2.17-2.18
Mo11 0.9917 0.3221 0.9911  2 C 2.17-2.18
Mo12 0.9928 0.3220 0.5094  2 C 2.18
C1 0.1396 0.4563 0.2500  6 Mo 2.14-2.18
C2 0.4563 0.1396 0.7500  6 Mo 2.14-2.18
C3 0.5437 0.8604 0.2500  6 Mo 2.14-2.18
C4 0.8604 0.5437 0.7500  6 Mo 2.14-2.18

10.
Density functional theory data (GGA-PBE) for an optimized crystal structure of IrRu.

Values from the calculation:
- D(E_F): 7.7 states/eV/cell
- Space-group type: No. 62
- Calculated formation energy: -0.045 eV per atom
- Polymorph energy (0 for the lowest one): 0.93 kJ/mol of atoms
- M_tot: 0.000 μB per atom
- ρ: 17.149 g cm⁻³

Cell: 4.7596 4.3562 5.4788 Å, 90.00 90.00 90.00°
Last column: nearest neighbours and their distance in Å.
Positions (direct):
Ir1 0.0837 0.2500 0.1243  4 Ir 2.69-2.75, 8 Ru 2.69-2.75
Ir2 0.4163 0.7500 0.6243  4 Ir 2.69-2.75, 8 Ru 2.69-2.75
Ir3 0.5837 0.2500 0.3757  4 Ir 2.69-2.75, 8 Ru 2.69-2.75
Ir4 0.9163 0.7500 0.8757  4 Ir 2.69-2.75, 8 Ru 2.69-2.75
Ru1 0.0824 0.2500 0.6255  8 Ir 2.69-2.75, 4 Ru 2.69-2.74
Ru2 0.4176 0.7500 0.1255  8 Ir 2.69-2.75, 4 Ru 2.69-2.74
Ru3 0.5824 0.2500 0.8745  8 Ir 2.69-2.75, 4 Ru 2.69-2.74
Ru4 0.9176 0.7500 0.3745  8 Ir 2.69-2.75, 4 Ru 2.69-2.74

11.
Density functional theory data (GGA-PBE) for an optimized crystal structure of Cs3SmY3Te8.

Values from the calculation:
- D(E_F): 7.6 states/eV/cell
- Formation energy without anion corrections: -1.34 eV/atom
- Space-group type: No. 166
- M_tot: 0.000 μB per atom
- ρ: 4.836 g cm⁻³

Cell: 10.5363 10.5363 10.5363 Å, 49.95 49.95 49.95°
Last column: nearest neighbours and their distance in Å.
Positions (direct):
Cs1 0.0000 0.5000 0.5000  6 Te 3.83-3.84
Cs2 0.5000 0.0000 0.5000  6 Te 3.83-3.84
Cs3 0.5000 0.5000 0.0000  6 Te 3.83-3.84
Sm1 0.5000 0.5000 0.5000  6 Te 3.16
Y1 0.0000 0.0000 0.5000  6 Te 3.10-3.11
Y2 0.0000 0.5000 0.0000  6 Te 3.10-3.11
Y3 0.5000 0.0000 0.0000  6 Te 3.10-3.11
Te1 0.2241 0.7342 0.7342  2 Y 3.10, 1 Sm 3.16
Te2 0.2302 0.2302 0.2302  3 Y 3.11
Te3 0.2658 0.2658 0.7759  2 Y 3.10, 1 Sm 3.16
Te4 0.2658 0.7759 0.2658  2 Y 3.10, 1 Sm 3.16
Te5 0.7342 0.2241 0.7342  2 Y 3.10, 1 Sm 3.16
Te6 0.7342 0.7342 0.2241  2 Y 3.10, 1 Sm 3.16
Te7 0.7698 0.7698 0.7698  3 Y 3.11
Te8 0.7759 0.2658 0.2658  2 Y 3.10, 1 Sm 3.16

12.
Density functional theory data (GGA-PBE) for an optimized crystal structure of Y2BeSbC.

Values from the calculation:
- D(E_F): 3.2 states/eV/cell
- Formation energy without anion corrections: -0.50 eV/atom
- Space-group type: No. 123
- M_tot: 0.000 μB per atom
- ρ: 5.574 g cm⁻³

Cell: 5.1226 5.1226 3.6395 Å, 90.00 90.00 90.00°
Last column: nearest neighbours and their distance in Å.
Positions (direct):
Y1 0.0000 0.5000 0.0000  2 C 2.56
Y2 0.5000 0.0000 0.0000  2 C 2.56
Be1 0.0000 0.0000 0.5000  2 C 1.82
Sb1 0.5000 0.5000 0.5000  8 Y 3.14
C1 0.0000 0.0000 0.0000  2 Be 1.82

13.
Density functional theory data (GGA-PBE) for an optimized crystal structure of SiTeIr.

Values from the calculation:
- D(E_F): 1.0 states/eV/cell
- Formation energy without anion corrections: -0.16 eV/atom
- Space-group type: No. 44
- M_tot: 0.000 μB per atom
- ρ: 9.313 g cm⁻³

Cell: 6.8364 6.8364 6.8364 Å, 154.82 152.81 37.40°
Last column: nearest neighbours and their distance in Å.
Positions (direct):
Si1 0.0000 0.0000 0.0000  4 Ir 2.40
Te1 0.7924 0.7924 0.0000  1 Si 2.69, 1 Ir 2.81, 2 Te 2.98
Ir1 0.5753 0.5753 0.0000  4 Si 2.40

14.
Density functional theory data (GGA-PBE) for an optimized crystal structure of La2AlNi3Ge4.

Values from the calculation:
- D(E_F): 4.0 states/eV/cell
- Space-group type: No. 115
- Calculated formation energy: -0.701 eV per atom
- M_tot: 0.000 μB per atom
- ρ: 7.131 g cm⁻³

Cell: 4.1827 4.1827 10.2677 Å, 90.00 90.00 90.00°
Last column: nearest neighbours and their distance in Å.
Positions (direct):
La1 0.0000 0.5000 0.2401  8 Ge 3.19-3.23, 6 Ni 3.20-3.39, 2 Al 3.39
La2 0.5000 0.0000 0.7599  8 Ge 3.19-3.23, 6 Ni 3.20-3.39, 2 Al 3.39
Al1 0.0000 0.0000 0.5000  4 Ge 2.56
Ni1 0.0000 0.5000 0.8795  5 Ge 2.42-2.43
Ni2 0.5000 0.0000 0.1205  5 Ge 2.42-2.43
Ni3 0.5000 0.5000 0.5000  4 Ge 2.56
Ge1 0.0000 0.0000 0.0000  4 Ni 2.43
Ge2 0.0000 0.5000 0.6442  3 Ni 2.42-2.56, 2 Al 2.56
Ge3 0.5000 0.0000 0.3558  3 Ni 2.42-2.56, 2 Al 2.56
Ge4 0.5000 0.5000 0.0000  4 Ni 2.43